[1]
Here is Zn2HgRu after structural relaxation from the Alexandria database. Energies are from PBE.

Properties
As for the formation enthalpy at 0 K: 17 kJ/mol of atoms.

a = 4.712 Å, b = 4.712 Å, c = 4.773 Å
α = 76.55°, β = 76.55°, γ = 39.59°
Positions (direct):
Hg  0.750  0.750  0.750
Ru  0.250  0.250  0.250
Zn  0.987  0.987  0.040
Zn  0.513  0.513  0.460



[2]
Here is Zn2HgRu2 after structural relaxation from the Alexandria database. Energies are from PBE.

Properties
As for the formation enthalpy at 0 K: 22 kJ/mol of atoms.

a = 7.084 Å, b = 7.084 Å, c = 3.227 Å
α = 90.00°, β = 90.00°, γ = 90.00°
Last column: magnetic moment on the atom in μB.
Positions (direct):
Ru  0.375  0.875  0.000  0.64
Ru  0.875  0.625  0.000  0.60
Ru  0.625  0.125  0.000  0.64
Ru  0.125  0.375  0.000  0.61
Zn  0.170  0.670  0.500  -0.01
Zn  0.670  0.830  0.500  0.00
Zn  0.830  0.330  0.500  -0.01
Zn  0.330  0.170  0.500  0.00
Hg  0.000  0.000  0.000  0.00
Hg  0.500  0.500  0.000  0.00



[3]
Here is Zn2HgRu after structural relaxation from the Alexandria database. Energies are from PBE.

Properties
As for the formation enthalpy at 0 K: 28 kJ/mol of atoms.

a = 4.493 Å, b = 4.493 Å, c = 4.493 Å
α = 60.00°, β = 60.00°, γ = 60.00°
Positions (direct):
Hg  0.500  0.500  0.500
Ru  0.750  0.750  0.750
Zn  0.000  0.000  0.000
Zn  0.250  0.250  0.250



[4]
Here is Zn2HgRu after structural relaxation from the Alexandria database. Energies are from PBE.

Properties
As for the formation enthalpy at 0 K: 8 kJ/mol of atoms.

a = 3.295 Å, b = 3.295 Å, c = 5.932 Å
α = 90.00°, β = 90.00°, γ = 90.00°
Positions (direct):
Hg  0.500  0.500  0.250
Ru  0.500  0.500  0.750
Zn  0.000  0.000  0.961
Zn  0.000  0.000  0.539



[5]
Here is Zn2HgRu after structural relaxation from the Alexandria database. Energies are from PBE.

Properties
As for the formation enthalpy at 0 K: 16 kJ/mol of atoms.

a = 5.212 Å, b = 5.212 Å, c = 5.212 Å
α = 141.16°, β = 133.37°, γ = 62.25°
Positions (direct):
Hg  0.503  0.503  0.000
Ru  0.762  0.262  0.500
Zn  0.992  0.992  0.000
Zn  0.243  0.743  0.500



[6]
Here is Zn2HgRu after structural relaxation from the Alexandria database. Energies are from PBE.

Properties
As for the formation enthalpy at 0 K: 16 kJ/mol of atoms.

a = 4.716 Å, b = 4.716 Å, c = 4.716 Å
α = 128.34°, β = 128.34°, γ = 76.07°
Positions (direct):
Hg  0.250  0.750  0.500
Ru  0.750  0.250  0.500
Zn  0.000  0.000  0.000
Zn  0.500  0.500  0.000



[7]
Here is Zn2HgRu after structural relaxation from the Alexandria database. Energies are from PBE.

Properties
As for the formation enthalpy at 0 K: 36 kJ/mol of atoms.

a = 3.980 Å, b = 3.980 Å, c = 9.507 Å
α = 77.92°, β = 77.92°, γ = 90.00°
Last column: magnetic moment on the atom in μB.
Positions (direct):
Ru  0.500  0.500  0.000  0.69
Ru  0.250  0.750  0.500  0.69
Zn  0.577  0.125  0.250  0.00
Zn  0.173  0.625  0.250  0.00
Zn  0.375  0.423  0.750  0.00
Zn  0.875  0.827  0.750  0.00
Hg  0.000  0.000  0.000  -0.01
Hg  0.750  0.250  0.500  -0.01



[8]
Here is Zn4HgRu after structural relaxation from the Alexandria database. Energies are from PBE.

Properties
As for the formation enthalpy at 0 K: 17 kJ/mol of atoms.

a = 5.049 Å, b = 5.049 Å, c = 5.049 Å
α = 60.00°, β = 60.00°, γ = 60.00°
Positions (direct):
Zn  0.878  0.374  0.374
Zn  0.374  0.374  0.878
Zn  0.374  0.878  0.374
Zn  0.374  0.374  0.374
Hg  0.750  0.750  0.750
Ru  0.000  0.000  0.000



[9]
Here is ZnHgRu4 after structural relaxation from the Alexandria database. Energies are from PBE.

Properties
As for the formation enthalpy at 0 K: 60 kJ/mol of atoms.

a = 5.169 Å, b = 5.169 Å, c = 5.169 Å
α = 60.00°, β = 60.00°, γ = 60.00°
Last column: magnetic moment on the atom in μB.
Positions (direct):
Zn  0.750  0.750  0.750  -0.02
Hg  0.000  0.000  0.000  -0.01
Ru  0.874  0.375  0.375  0.66
Ru  0.375  0.375  0.874  0.66
Ru  0.375  0.874  0.375  0.66
Ru  0.375  0.375  0.375  0.66



[10]
Here is Zn2HgRu2 after structural relaxation from the Alexandria database. Energies are from PBE.

Properties
As for the formation enthalpy at 0 K: 30 kJ/mol of atoms.

a = 6.976 Å, b = 6.976 Å, c = 3.187 Å
α = 90.00°, β = 90.00°, γ = 90.00°
Last column: magnetic moment on the atom in μB.
Positions (direct):
Ru  0.167  0.667  0.500  0.39
Ru  0.667  0.833  0.500  0.40
Ru  0.833  0.333  0.500  0.39
Ru  0.333  0.167  0.500  0.40
Zn  0.372  0.872  0.000  -0.01
Zn  0.872  0.628  0.000  -0.01
Zn  0.628  0.128  0.000  -0.01
Zn  0.128  0.372  0.000  -0.01
Hg  0.000  0.000  0.000  0.00
Hg  0.500  0.500  0.000  0.00



[11]
Here is Zn2HgRu after structural relaxation from the Alexandria database. Energies are from PBE.

Properties
As for the formation enthalpy at 0 K: 19 kJ/mol of atoms.

a = 4.219 Å, b = 2.855 Å, c = 5.520 Å
α = 75.01°, β = 90.00°, γ = 90.00°
Last column: magnetic moment on the atom in μB.
Positions (direct):
Hg  0.000  0.447  0.482  0.00
Ru  0.500  0.786  0.801  0.71
Zn  0.000  0.200  0.972  -0.01
Zn  0.500  0.066  0.245  0.00



[12]
Here is Zn2HgRu after structural relaxation from the Alexandria database. Energies are from PBE.

Properties
As for the formation enthalpy at 0 K: 8 kJ/mol of atoms.

a = 3.742 Å, b = 4.088 Å, c = 4.088 Å
α = 90.00°, β = 90.00°, γ = 90.00°
Positions (direct):
Ru  0.500  0.000  0.000
Zn  0.000  0.000  0.500
Zn  0.000  0.500  0.000
Hg  0.500  0.500  0.500



[13]
Here is Zn2HgRu after structural relaxation from the Alexandria database. Energies are from PBE.

Properties
As for the formation enthalpy at 0 K: 23 kJ/mol of atoms.

a = 2.872 Å, b = 2.872 Å, c = 9.115 Å
α = 90.00°, β = 90.00°, γ = 116.03°
Last column: magnetic moment on the atom in μB.
Positions (direct):
Hg  0.500  0.500  0.250  0.00
Ru  0.500  0.500  0.750  0.67
Zn  0.000  0.000  0.974  -0.01
Zn  0.000  0.000  0.526  -0.01



[14]
Here is Zn3HgRu after structural relaxation from the Alexandria database. Energies are from PBE.

Properties
As for the formation enthalpy at 0 K: 47 kJ/mol of atoms.

a = 4.825 Å, b = 4.825 Å, c = 4.825 Å
α = 90.00°, β = 90.00°, γ = 90.00°
Positions (direct):
Ru  0.000  0.000  0.000
Zn  0.000  0.500  0.000
Zn  0.000  0.000  0.500
Zn  0.500  0.000  0.000
Hg  0.500  0.500  0.500



[15]
Here is Zn2HgRu after structural relaxation from the Alexandria database. Energies are from PBE.

Properties
As for the formation enthalpy at 0 K: 18 kJ/mol of atoms.

a = 5.174 Å, b = 5.174 Å, c = 5.174 Å
α = 142.69°, β = 128.70°, γ = 65.13°
Positions (direct):
Hg  0.250  0.750  0.500
Ru  0.750  0.250  0.500
Zn  0.986  0.986  0.000
Zn  0.514  0.514  0.000



[16]
Here is Zn2HgRu after structural relaxation from the Alexandria database. Energies are from PBE.

Properties
As for the formation enthalpy at 0 K: 19 kJ/mol of atoms.

a = 9.439 Å, b = 9.439 Å, c = 9.439 Å
α = 17.67°, β = 17.67°, γ = 17.67°
Last column: magnetic moment on the atom in μB.
Positions (direct):
Hg  0.750  0.750  0.750  0.00
Ru  0.250  0.250  0.250  0.07
Zn  0.989  0.989  0.989  0.00
Zn  0.511  0.511  0.511  0.00



[17]
Here is Zn2HgRu after structural relaxation from the Alexandria database. Energies are from PBE.

Properties
As for the formation enthalpy at 0 K: 20 kJ/mol of atoms.

a = 3.265 Å, b = 3.265 Å, c = 6.105 Å
α = 90.00°, β = 90.00°, γ = 90.00°
Positions (direct):
Hg  0.000  0.000  0.502
Ru  0.500  0.500  0.793
Zn  0.000  0.000  0.983
Zn  0.500  0.500  0.221



[18]
Here is Zn2HgRu after structural relaxation from the Alexandria database. Energies are from PBE.

Properties
As for the formation enthalpy at 0 K: 31 kJ/mol of atoms.

a = 2.870 Å, b = 2.870 Å, c = 9.253 Å
α = 90.00°, β = 90.00°, γ = 118.39°
Last column: magnetic moment on the atom in μB.
Positions (direct):
Hg  0.000  0.000  0.505  0.00
Ru  0.500  0.500  0.769  0.88
Zn  0.000  0.000  0.994  0.00
Zn  0.500  0.500  0.232  0.01



[19]
Here is Zn2HgRu after structural relaxation from the Alexandria database. Energies are from PBE.

Properties
As for the formation enthalpy at 0 K: 29 kJ/mol of atoms.

a = 9.268 Å, b = 9.268 Å, c = 9.268 Å
α = 17.98°, β = 17.98°, γ = 17.98°
Positions (direct):
Hg  0.502  0.502  0.502
Ru  0.257  0.257  0.257
Zn  0.997  0.997  0.997
Zn  0.743  0.743  0.743



[20]
Here is Zr2HgRu4 after structural relaxation from the Alexandria database. Energies are from PBE.

Properties
As for the formation enthalpy at 0 K: 117 kJ/mol of atoms.

a = 4.863 Å, b = 4.863 Å, c = 7.456 Å
α = 70.97°, β = 70.97°, γ = 90.00°
Last column: magnetic moment on the atom in μB.
Positions (direct):
Ru  0.798  0.798  0.405  1.14
Ru  0.202  0.202  0.595  1.14
Ru  0.000  0.500  0.000  0.43
Ru  0.500  0.000  0.000  0.43
Hg  0.000  0.000  0.000  0.00
Zr  0.618  0.618  0.763  -0.17
Zr  0.382  0.382  0.237  -0.17